# RbTaW2N

A PBEsol-optimized structure of RbTaW2N (meta-GGA SCAN, Alexandria).

```
RbTaW2N
1.0
4.0609 0.0000 0.0000
0.0000 4.0609 0.0000
0.0000 0.0000 5.0674
N W Rb Ta
1 2 1 1
Cartesian
0.0000 0.0000 0.0000 N
2.0304 0.0000 0.0000 W
0.0000 2.0304 0.0000 W
0.0000 0.0000 2.5337 Rb
2.0304 2.0304 2.5337 Ta
```

**DFT total energy**: -229.07 eV per cell
**Symmetry**: P4/mmm (123)


# RbTe2WN

A PBEsol-optimized structure of RbTe2WN (meta-GGA SCAN, Alexandria).

```
RbTe2WN
1.0
-1.9923 1.3985 -2.9915
-4.7902 -1.1120 2.6703
0.1058 5.0950 2.3114
Te N Rb W
2 1 1 1
Cartesian
0.0529 2.5475 1.1557 Te
-2.3951 -0.5560 1.3352 Te
-0.9962 0.6993 -1.4958 N
-3.3383 2.6908 0.9951 Rb
0.0000 0.0000 0.0000 W
```

**DFT total energy**: -174.29 eV per cell
**Symmetry**: P4/mmm (123)


# RbTiN3

A PBEsol-optimized structure of RbTiN3 (meta-GGA SCAN, Alexandria).

```
RbTiN3
1.0
-2.9750 -2.5400 1.0938
2.6967 -2.3080 1.9748
-0.6134 2.1726 3.3767
Ti N Rb
1 3 1
Cartesian
-0.4459 -1.3377 3.2227 Ti
1.3483 -1.1540 0.9874 N
-0.3067 1.0863 1.6884 N
-1.4875 -1.2700 0.5469 N
0.0000 0.0000 0.0000 Rb
```

**DFT total energy**: -49.91 eV per cell
**Symmetry**: Pm-3m (221)


# RbTlN2

A PBEsol-optimized structure of RbTlN2 (meta-GGA SCAN, Alexandria).

```
RbTlN2
1.0
-1.3136 -4.3502 3.9806
5.8677 1.4213 -0.2125
-2.4457 5.3575 1.3458
N Tl Rb
4 2 2
Cartesian
-2.4813 -0.5845 4.4869 N
2.0299 3.8388 3.4177 N
0.9340 0.2845 1.9796 N
3.7342 1.3184 0.3437 N
3.1326 0.2302 2.1674 Tl
0.0000 0.0000 0.0000 Tl
1.7110 3.3894 0.5667 Rb
-1.0241 2.1983 2.9465 Rb
```

**DFT total energy**: -215.03 eV per cell
**Symmetry**: I-42d (122)


# Rb3ZrN

A PBEsol-optimized structure of Rb3ZrN (meta-GGA SCAN, Alexandria).

```
Rb3ZrN
1.0
6.9677 0.0000 0.0000
0.0000 6.9677 0.0000
0.0000 0.0000 6.9677
Zr Rb N
1 3 1
Cartesian
0.0000 0.0000 0.0000 Zr
0.0000 0.0000 3.4839 Rb
0.0000 3.4839 0.0000 Rb
3.4839 0.0000 0.0000 Rb
3.4839 3.4839 3.4839 N
```

**DFT total energy**: -93.18 eV per cell
**Symmetry**: Pm-3m (221)


# Re2N

A PBEsol-optimized structure of Re2N (meta-GGA SCAN, Alexandria).

```
Re2N
1.0
2.8356 0.0000 0.0000
-1.4178 2.4557 0.0000
0.0000 0.0000 9.8043
Re N
4 2
Cartesian
1.4178 0.8186 5.9426 Re
0.0000 1.6371 3.8617 Re
1.4178 0.8186 8.7639 Re
0.0000 1.6371 1.0405 Re
0.0000 1.6371 7.3532 N
1.4178 0.8186 2.4511 N
```

**DFT total energy**: -302.95 eV per cell
**Symmetry**: P6_3/mmc (194)


# Re3N

A PBEsol-optimized structure of Re3N (meta-GGA SCAN, Alexandria).

```
Re3N
1.0
2.8120 0.0000 0.0000
-1.4060 2.4353 0.0000
0.0000 0.0000 7.1139
Re N
3 1
Cartesian
1.4060 0.8118 5.7033 Re
1.4060 0.8118 1.4106 Re
0.0000 1.6235 3.5570 Re
0.0000 1.6235 0.0000 N
```

**DFT total energy**: -222.85 eV per cell
**Symmetry**: P-6m2 (187)


# ReRhN2

A PBEsol-optimized structure of ReRhN2 (meta-GGA SCAN, Alexandria).

```
ReRhN2
1.0
3.7735 0.0000 0.0000
1.8867 3.2679 0.0000
1.8867 1.0893 3.0810
N Rh Re
2 1 1
Cartesian
5.6602 3.2679 2.3108 N
1.8867 1.0893 0.7703 N
0.0000 0.0000 0.0000 Rh
3.7735 2.1786 1.5405 Re
```

**DFT total energy**: -118.76 eV per cell
**Symmetry**: Fm-3m (225)


# ReTeRuN2

A PBEsol-optimized structure of ReTeRuN2 (meta-GGA SCAN, Alexandria).

```
ReTeRuN2
1.0
-3.1187 1.3837 1.6421
0.9155 -1.7625 3.2238
2.9142 4.5792 1.6759
N Ru Te Re
2 1 1 1
Cartesian
-1.5593 0.6919 0.8211 N
0.4577 -0.8812 1.6119 N
0.0000 0.0000 0.0000 Ru
1.4571 2.2896 0.8380 Te
0.3555 2.1003 3.2710 Re
```

**DFT total energy**: -154.18 eV per cell
**Symmetry**: P4/mmm (123)


# SrReS2N

A PBEsol-optimized structure of SrReS2N (meta-GGA SCAN, Alexandria).

```
SrReS2N
1.0
-3.5112 -0.6852 1.2939
1.6939 -3.6543 2.6612
0.7636 3.0324 3.6779
Sr N S Re
1 1 2 1
Cartesian
-0.5268 -0.6536 3.8165 Sr
-1.7556 -0.3426 0.6470 N
0.8469 -1.8272 1.3306 S
0.3818 1.5162 1.8390 S
0.0000 0.0000 0.0000 Re
```

**DFT total energy**: -125.89 eV per cell
**Symmetry**: P4/mmm (123)


# ReTcS2N

A PBEsol-optimized structure of ReTcS2N (meta-GGA SCAN, Alexandria).

```
ReTcS2N
1.0
3.6089 0.0000 0.0000
0.0000 4.6735 0.0000
0.0000 0.0000 4.6735
N S Tc Re
1 2 1 1
Cartesian
1.8044 0.0000 0.0000 N
0.0000 2.3367 0.0000 S
0.0000 0.0000 2.3367 S
0.0000 0.0000 0.0000 Tc
1.8044 2.3367 2.3367 Re
```

**DFT total energy**: -129.47 eV per cell
**Symmetry**: P4/mmm (123)


# TiReS2N

A PBEsol-optimized structure of TiReS2N (meta-GGA SCAN, Alexandria).

```
TiReS2N
1.0
3.6975 0.0000 0.0000
0.0000 4.7137 0.0000
0.0000 0.0000 4.7137
Ti S N Re
1 2 1 1
Cartesian
1.8487 2.3569 2.3569 Ti
0.0000 0.0000 2.3569 S
0.0000 2.3569 0.0000 S
1.8487 0.0000 0.0000 N
0.0000 0.0000 0.0000 Re
```

**DFT total energy**: -115.64 eV per cell
**Symmetry**: P4/mmm (123)


# TlReS2N

A PBEsol-optimized structure of TlReS2N (meta-GGA SCAN, Alexandria).

```
TlReS2N
1.0
-1.0566 -3.3684 1.3295
2.5441 -2.1680 -3.4710
3.8634 -0.0756 2.8790
S N Re Tl
2 1 1 1
Cartesian
1.9317 -0.0378 1.4395 S
1.2721 -1.0840 -1.7355 S
-0.5283 -1.6842 0.6647 N
0.0000 0.0000 0.0000 Re
2.6755 -2.8060 0.3688 Tl
```

**DFT total energy**: -171.61 eV per cell
**Symmetry**: P4/mmm (123)


# ReWSN2

A PBEsol-optimized structure of ReWSN2 (meta-GGA SCAN, Alexandria).

```
ReWSN2
1.0
-1.8686 2.6704 1.9200
-2.5297 0.2444 -2.8018
-2.7337 -3.4699 2.1655
N S W Re
2 1 1 1
Cartesian
-1.2649 0.1222 -1.4009 N
-0.9343 1.3352 0.9600 N
-1.3668 -1.7349 1.0828 S
-3.5660 -0.2775 0.6419 W
0.0000 0.0000 0.0000 Re
```

**DFT total energy**: -162.99 eV per cell
**Symmetry**: P4/mmm (123)


# YReS2N

A PBEsol-optimized structure of YReS2N (meta-GGA SCAN, Alexandria).

```
YReS2N
1.0
-0.9327 -3.4895 1.0124
4.5507 -0.9195 1.0230
-0.7035 1.4826 4.4619
Y Re S N
1 1 2 1
Cartesian
1.4573 -1.4632 3.2486 Y
0.0000 0.0000 0.0000 Re
2.2754 -0.4598 0.5115 S
-0.3517 0.7413 2.2309 S
-0.4663 -1.7448 0.5062 N
```

**DFT total energy**: -131.01 eV per cell
**Symmetry**: P4/mmm (123)


# ZrReS2N

A PBEsol-optimized structure of ZrReS2N (meta-GGA SCAN, Alexandria).

```
ZrReS2N
1.0
-2.2624 2.9288 0.1466
-1.1818 -0.6880 -4.4959
-3.5279 -2.7931 1.3548
Re S N Zr
1 2 1 1
Cartesian
0.0000 0.0000 0.0000 Re
-0.5909 -0.3440 -2.2479 S
-1.7640 -1.3965 0.6774 S
-1.1312 1.4644 0.0733 N
-3.4861 -0.2761 -1.4973 Zr
```

**DFT total energy**: -130.86 eV per cell
**Symmetry**: P4/mmm (123)


# Re3SbN

A PBEsol-optimized structure of Re3SbN (meta-GGA SCAN, Alexandria).

```
Re3SbN
1.0
4.1163 0.0000 0.0000
0.0000 4.1163 0.0000
0.0000 0.0000 4.1163
Sb Re N
1 3 1
Cartesian
2.0582 2.0582 2.0582 Sb
2.0582 0.0000 0.0000 Re
0.0000 2.0582 0.0000 Re
0.0000 0.0000 2.0582 Re
0.0000 0.0000 0.0000 N
```

**DFT total energy**: -256.01 eV per cell
**Symmetry**: Pm-3m (221)


# Sc2ReN

A PBEsol-optimized structure of Sc2ReN (meta-GGA SCAN, Alexandria).

```
Sc2ReN
1.0
-2.7049 1.6019 0.5831
-2.7738 -1.0620 -1.1836
-2.9753 -4.1568 6.3837
Sc N Re
2 1 1
Cartesian
-2.6961 -3.1031 4.7839 Sc
-5.7578 -0.5138 0.9992 Sc
0.0000 0.0000 0.0000 N
-4.2270 -1.8084 2.8916 Re
```

**DFT total energy**: -107.37 eV per cell
**Symmetry**: R-3m (166)


# ReTcSeN2

A PBEsol-optimized structure of ReTcSeN2 (meta-GGA SCAN, Alexandria).

```
ReTcSeN2
1.0
3.8034 0.0000 0.0000
0.0000 3.8034 0.0000
0.0000 0.0000 5.2783
Tc Se Re N
1 1 1 2
Cartesian
1.9017 1.9017 2.6392 Tc
0.0000 0.0000 2.6392 Se
0.0000 0.0000 0.0000 Re
0.0000 1.9017 0.0000 N
1.9017 0.0000 0.0000 N
```

**DFT total energy**: -140.75 eV per cell
**Symmetry**: P4/mmm (123)


# ZnReSe2N

A PBEsol-optimized structure of ZnReSe2N (meta-GGA SCAN, Alexandria).

```
ZnReSe2N
1.0
-0.7579 -0.0454 -3.6274
-3.9103 -2.9717 0.8543
-2.9191 4.0021 0.5598
Se Zn N Re
2 1 1 1
Cartesian
-1.9552 -1.4858 0.4271 Se
-1.4595 2.0010 0.2799 Se
-3.7937 0.4925 -1.1066 Zn
-0.3790 -0.0227 -1.8137 N
0.0000 0.0000 0.0000 Re
```

**DFT total energy**: -132.32 eV per cell
**Symmetry**: P4/mmm (123)


# ZrReSeN2

A PBEsol-optimized structure of ZrReSeN2 (meta-GGA SCAN, Alexandria).

```
ZrReSeN2
1.0
-2.1671 -3.2856 -0.8460
3.2512 -1.7241 -1.6323
1.3324 -2.1457 4.9201
N Zr Re Se
2 1 1 1
Cartesian
1.6256 -0.8620 -0.8162 N
-1.0835 -1.6428 -0.4230 N
0.0000 0.0000 0.0000 Zr
1.2083 -3.5777 1.2209 Re
0.6662 -1.0728 2.4600 Se
```

**DFT total energy**: -135.28 eV per cell
**Symmetry**: P4/mmm (123)


# Sr2ReN3

A PBEsol-optimized structure of Sr2ReN3 (meta-GGA SCAN, Alexandria).

```
Sr2ReN3
1.0
-4.2696 0.9608 3.2178
-5.4654 -2.2853 -1.9845
1.2192 -10.2954 6.7941
N Sr Re
12 8 4
Cartesian
-4.5451 -10.0019 3.1174 N
-2.0702 -7.9468 5.7875 N
-3.0645 -5.3977 5.4781 N
-6.6143 -7.1923 5.7130 N
-4.5978 -10.0673 6.0568 N
-3.9180 -1.5526 1.9706 N
-5.4513 -6.2222 2.5492 N
-7.9926 -1.5829 1.3340 N
-6.4455 -3.6730 2.2398 N
-0.5232 -10.0369 6.6934 N
-3.9707 -1.6179 4.9099 N
-1.9015 -4.4275 2.3144 N
-1.0441 -6.3225 3.8681 Sr
-2.0892 -2.3693 0.2465 Sr
-7.4717 -5.2974 4.1593 Sr
-6.4266 -9.2506 7.7808 Sr
-2.8833 -9.3942 7.9369 Sr
-5.6325 -2.2257 0.0904 Sr
-4.2276 -4.0238 3.5019 Sr
-4.2882 -7.5961 4.5254 Sr
-7.6532 -8.5162 4.8988 Re
-5.6731 -10.4992 4.5898 Re
-0.8625 -3.1037 3.1285 Re
-2.8427 -1.1207 3.4375 Re
```

**DFT total energy**: -594.66 eV per cell
**Symmetry**: C2/c (15)


# SrReN2

A PBEsol-optimized structure of SrReN2 (meta-GGA SCAN, Alexandria).

```
SrReN2
1.0
-1.7450 4.5776 -1.2499
-2.6370 -4.8828 -3.9753
-5.5440 -0.8307 4.6980
Sr Re N
4 4 8
Cartesian
-2.5281 1.3509 -1.7482 Sr
-7.3980 -2.4868 1.2211 Sr
-6.4686 0.0719 -0.9308 Sr
-3.4575 -1.2078 0.4037 Sr
-4.9980 1.3866 1.8307 Re
-4.7715 -0.0795 -3.8550 Re
-4.9282 -2.5225 -2.3579 Re
-5.1546 -1.0564 3.3278 Re
-3.7447 1.4817 0.4292 N
-3.2432 -3.0472 -1.5192 N
-6.6830 1.9113 0.9920 N
-4.1157 -0.7584 -2.1441 N
-5.8104 -0.3775 1.6170 N
-8.7476 -0.5826 -0.1460 N
-6.1814 -2.6176 -0.9563 N
-1.1785 -0.5533 -0.3812 N
```

**DFT total energy**: -457.67 eV per cell
**Symmetry**: Cmce (64)


# SrReTe2N

A PBEsol-optimized structure of SrReTe2N (meta-GGA SCAN, Alexandria).

```
SrReTe2N
1.0
4.5230 0.0000 0.0000
0.0000 5.9875 0.0000
0.0000 0.0000 5.9875
Re Te N Sr
1 2 1 1
Cartesian
2.2615 2.9937 2.9937 Re
0.0000 0.0000 2.9937 Te
0.0000 2.9937 0.0000 Te
2.2615 0.0000 0.0000 N
0.0000 0.0000 0.0000 Sr
```

**DFT total energy**: -168.29 eV per cell
**Symmetry**: P4/mmm (123)


# TaReN2

A PBEsol-optimized structure of TaReN2 (meta-GGA SCAN, Alexandria).

```
TaReN2
1.0
-0.1907 -2.5883 -1.2760
-0.0442 -2.4044 1.6064
-6.6659 -1.3335 0.4240
N Ta Re
2 1 1
Cartesian
-4.6316 -1.4357 0.3271 N
-2.2693 -4.8906 0.4273 N
0.0000 0.0000 0.0000 Ta
-3.4504 -3.1631 0.3772 Re
```

**DFT total energy**: -155.54 eV per cell
**Symmetry**: R-3m (166)


# Re3TcN

A PBEsol-optimized structure of Re3TcN (meta-GGA SCAN, Alexandria).

```
Re3TcN
1.0
-2.2076 1.3539 -3.0648
1.4199 -2.9464 -2.3243
-3.0348 -2.3634 1.1420
Re Tc N
3 1 1
Cartesian
-1.5174 -1.1817 0.5710 Re
0.7100 -1.4732 -1.1622 Re
-1.1038 0.6769 -1.5324 Re
-1.9112 -1.9779 -2.1236 Tc
0.0000 0.0000 0.0000 N
```

**DFT total energy**: -256.11 eV per cell
**Symmetry**: Pm-3m (221)


# ReTe2N

A PBEsol-optimized structure of ReTe2N (meta-GGA SCAN, Alexandria).

```
ReTe2N
1.0
-2.6386 2.2996 -1.8673
-3.8642 -0.8826 0.1596
-2.7835 4.1444 4.8234
N Te Re
1 2 1
Cartesian
0.0000 0.0000 0.0000 N
-2.6026 3.0660 3.2397 Te
-6.6837 2.4954 -0.1239 Te
-4.6432 2.7807 1.5579 Re
```

**DFT total energy**: -150.81 eV per cell
**Symmetry**: R-3m (166)